Entry 1:
LaHgP2 | GGA-PBE | relaxed

Output
The calculation puts the formation energy from the elements at -0.547 eV per atom. The calculation puts the density of states at the Fermi level at 0.524 states/eV per atom.

The structure in POSCAR format:
```
LaHgP2
1.0
-3.673 -3.929 -2.300
0.294 -5.631 -1.557
-0.844 -0.171 4.116
Hg La P
1 1 2
direct
0.528 0.528 0.721
0.268 0.268 0.126
0.945 0.945 0.032
0.760 0.760 0.621
```

***

Entry 2:
BiH4Pb | GGA-PBE | relaxed

Output
The calculation puts the density of states at the Fermi level at 0.138 states/eV per atom. As for the total DFT energy (no corrections): -36.92 eV per cell.

The structure in POSCAR format:
```
BiH4Pb
1.0
6.291 1.276 -0.301
-0.542 6.177 -1.922
1.216 -0.541 6.354
Bi H Pb
2 8 2
direct
0.750 0.604 0.396
0.250 0.396 0.604
0.795 0.917 0.657
0.954 0.659 0.210
0.705 0.343 0.083
0.295 0.657 0.917
0.205 0.083 0.343
0.454 0.210 0.659
0.546 0.790 0.341
0.046 0.341 0.790
0.250 0.995 0.005
0.750 0.005 0.995
```